Entry 1:
{
  "formula": "MnCr2Fe",
  "functional": "SCAN",
  "state": "single point on PBEsol structure",
  "e_above_lowest_polymorph_ev_per_atom": 0.334,
  "rho_kg_m3": 8353,
  "cell": [[2.462, 0.000, 0.000], [-1.231, 4.090, -0.009], [0.000, -0.722, 4.241]],
  "species": ["Cr", "Cr", "Fe", "Mn"],
  "fractional_positions": [[0.745, 0.491, 0.746], [0.255, 0.509, 0.254], [0.000, 0.000, 0.500], [0.500, 0.000, 0.000]]
}

---

Entry 2:
{
  "formula": "Mn2CrFe",
  "functional": "SCAN",
  "state": "single point on PBEsol structure",
  "total_energy_ry_per_atom": -1.3353,
  "rho_kg_m3": 8443,
  "cell": [[2.394, 0.000, -0.005], [0.000, 3.936, 0.000], [-0.670, 0.000, 4.546]],
  "species": ["Cr", "Mn", "Mn", "Fe"],
  "fractional_positions": [[0.500, 0.500, 0.000], [0.729, 0.000, 0.749], [0.271, 0.000, 0.251], [0.000, 0.500, 0.500]]
}

---

Entry 3:
{
  "formula": "Mn2CrFe",
  "functional": "SCAN",
  "state": "single point on PBEsol structure",
  "total_energy_ry_per_atom": -1.3409,
  "rho_kg_m3": 8446,
  "cell": [[2.871, 0.000, 0.000], [0.000, 3.839, 0.000], [0.000, 0.000, 3.883]],
  "species": ["Cr", "Mn", "Mn", "Fe"],
  "fractional_positions": [[0.500, 0.500, 0.000], [0.000, 0.000, 0.000], [0.500, 0.000, 0.500], [0.000, 0.500, 0.500]]
}

---

Entry 4:
{
  "formula": "Mn2CrFe",
  "functional": "SCAN",
  "state": "single point on PBEsol structure",
  "total_energy_ry_per_atom": -1.3397,
  "rho_kg_m3": 8440,
  "cell": [[-0.124, -0.144, -3.923], [-1.589, -3.107, -1.802], [-3.434, 0.359, -1.871]],
  "species": ["Cr", "Mn", "Mn", "Fe"],
  "fractional_positions": [[0.500, 0.500, 0.500], [0.000, 0.000, 0.000], [0.750, 0.750, 0.750], [0.250, 0.250, 0.250]]
}

---

Entry 5:
{
  "formula": "Mn2CrFe",
  "functional": "SCAN",
  "state": "single point on PBEsol structure",
  "total_energy_ry_per_atom": -1.3300,
  "rho_kg_m3": 8611,
  "cell": [[3.477, 0.000, 0.000], [0.000, 3.477, 0.000], [-1.739, -1.739, 3.472]],
  "species": ["Cr", "Mn", "Mn", "Fe"],
  "fractional_positions": [[0.500, 0.500, 0.000], [0.000, 0.000, 0.000], [0.750, 0.250, 0.500], [0.250, 0.750, 0.500]]
}

---

Entry 6:
{
  "formula": "Mn2CrFe",
  "functional": "SCAN",
  "state": "single point on PBEsol structure",
  "total_energy_ry_per_atom": -1.3375,
  "rho_kg_m3": 8483,
  "cell": [[2.873, 0.000, 0.000], [0.000, 3.841, 0.000], [-1.437, -1.921, 3.862]],
  "species": ["Cr", "Mn", "Mn", "Fe"],
  "fractional_positions": [[0.497, 0.497, 0.994], [0.003, 0.003, 0.005], [0.754, 0.254, 0.507], [0.246, 0.746, 0.493]]
}